Record 1
VASP calculation (GGA-PBE) on an optimized crystal structure of La3NdTh2Sb6.

- E_form (uncorrected): -1.16 eV per atom
- Spin magnetization: 0.000 μB/cell
- Crystal system: monoclinic

Lattice parameters (Å, degrees): 7.903 7.903 7.919 99.56 99.56 120.05
Element x y z (fractional)
1 La 0.000 0.000 0.000
2 La 0.334 0.666 0.000
3 La 0.666 0.334 0.000
4 Nd 0.500 0.500 0.500
5 Th 0.167 0.833 0.500
6 Th 0.833 0.167 0.500
7 Sb 0.084 0.419 0.256
8 Sb 0.246 0.246 0.743
9 Sb 0.419 0.084 0.256
10 Sb 0.581 0.916 0.744
11 Sb 0.754 0.754 0.257
12 Sb 0.916 0.581 0.744

---

Record 2
VASP calculation (GGA-PBE) on an optimized crystal structure of SnRhO2.

- E_form (uncorrected): -0.33 eV per atom
- Spin magnetization: 3.572 μB/cell
- Crystal system: tetragonal

Lattice parameters (Å, degrees): 6.111 6.111 6.111 130.65 130.65 72.36
Element x y z (fractional)
1 Sn 0.000 0.000 0.000
2 Sn 0.750 0.250 0.500
3 Rh 0.250 0.750 0.500
4 Rh 0.500 0.500 0.000
5 O 0.095 0.625 0.970
6 O 0.375 0.345 0.470
7 O 0.655 0.125 0.030
8 O 0.875 0.905 0.530

---

Record 3
VASP calculation (GGA-PBE) on an optimized crystal structure of CsZr2I8.

- E_form (uncorrected): -0.89 eV per atom
- Spin magnetization: 1.035 μB/cell
- Crystal system: trigonal

Lattice parameters (Å, degrees): 11.011 11.011 5.823 90.00 90.00 120.00
Element x y z (fractional)
1 Cs 0.000 0.000 0.000
2 Zr 0.333 0.667 0.268
3 Zr 0.667 0.333 0.732
4 I 0.187 0.376 0.274
5 I 0.189 0.813 0.274
6 I 0.333 0.667 0.770
7 I 0.376 0.189 0.726
8 I 0.624 0.811 0.274
9 I 0.667 0.333 0.230
10 I 0.811 0.187 0.726
11 I 0.813 0.624 0.726

---

Record 4
VASP calculation (GGA-PBE) on an optimized crystal structure of Ac2Mg3Si4.

- E_form (uncorrected): -0.29 eV per atom
- Spin magnetization: 0.000 μB/cell
- Crystal system: orthorhombic

Lattice parameters (Å, degrees): 8.737 8.737 8.324 90.00 90.00 138.64
Element x y z (fractional)
1 Ac 0.113 0.887 0.915
2 Ac 0.387 0.613 0.415
3 Ac 0.613 0.387 0.585
4 Ac 0.887 0.113 0.085
5 Mg 0.000 0.000 0.500
6 Mg 0.040 0.460 0.750
7 Mg 0.460 0.040 0.250
8 Mg 0.500 0.500 0.000
9 Mg 0.540 0.960 0.750
10 Mg 0.960 0.540 0.250
11 Si 0.191 0.809 0.551
12 Si 0.203 0.297 0.750
13 Si 0.297 0.203 0.250
14 Si 0.309 0.691 0.051
15 Si 0.691 0.309 0.949
16 Si 0.703 0.797 0.750
17 Si 0.797 0.703 0.250
18 Si 0.809 0.191 0.449

---

Record 5
VASP calculation (GGA-PBE) on an optimized crystal structure of Mo2PbAu.

- Final energy: -6.149 eV per atom
- Spin magnetization: 2.838 μB/cell
- Crystal system: tetragonal

Lattice parameters (Å, degrees): 6.051 6.051 6.051 102.30 102.30 125.02
Element x y z (fractional)
1 Mo 0.115 0.625 0.990
2 Mo 0.375 0.365 0.490
3 Mo 0.635 0.125 0.010
4 Mo 0.875 0.885 0.510
5 Pb 0.250 0.750 0.500
6 Pb 0.500 0.500 0.000
7 Au 0.000 0.000 0.000
8 Au 0.750 0.250 0.500

---

Record 6
VASP calculation (GGA-PBE) on an optimized crystal structure of MnHg2Te.

- E_form (uncorrected): 0.14 eV per atom
- Spin magnetization: 3.897 μB/cell
- Crystal system: orthorhombic

Lattice parameters (Å, degrees): 6.981 6.981 6.981 152.07 140.77 48.84
Element x y z (fractional)
1 Mn 0.000 0.000 0.000
2 Hg 0.476 0.476 0.000
3 Hg 0.808 0.308 0.500
4 Te 0.166 0.666 0.500

---

Record 7
VASP calculation (GGA-PBE) on an optimized crystal structure of MnBeTeN2.

- E_form (uncorrected): 1.48 eV per atom
- Spin magnetization: 0.021 μB/cell
- Crystal system: tetragonal
- Distance to the lowest polymorph of the same formula: 809 meV/atom

Lattice parameters (Å, degrees): 3.471 3.471 5.962 90.00 90.00 90.00
Element x y z (fractional)
1 Mn 0.000 0.000 0.000
2 Be 0.500 0.500 0.500
3 Te 0.500 0.500 0.000
4 N 0.000 0.500 0.500
5 N 0.500 0.000 0.500

---

Record 8
VASP calculation (GGA-PBE) on an optimized crystal structure of DyPuSn6.

- Final energy: -5.763 eV per atom
- Spin magnetization: 5.566 μB/cell
- Crystal system: tetragonal

Lattice parameters (Å, degrees): 4.725 4.725 9.231 90.00 90.00 90.00
Element x y z (fractional)
1 Dy 0.000 0.000 0.000
2 Pu 0.000 0.000 0.500
3 Sn 0.000 0.500 0.252
4 Sn 0.000 0.500 0.748
5 Sn 0.500 0.000 0.252
6 Sn 0.500 0.000 0.748
7 Sn 0.500 0.500 0.000
8 Sn 0.500 0.500 0.500

---

Record 9
VASP calculation (GGA-PBE) on an optimized crystal structure of Dy2SnHg5.

- Final energy: -2.207 eV per atom
- Spin magnetization: 0.000 μB/cell
- Crystal system: orthorhombic

Lattice parameters (Å, degrees): 6.597 13.215 4.490 90.00 90.00 90.00
Element x y z (fractional)
1 Dy 0.230 0.120 0.000
2 Dy 0.270 0.620 0.000
3 Dy 0.730 0.380 0.000
4 Dy 0.770 0.880 0.000
5 Sn 0.000 0.000 0.500
6 Sn 0.500 0.500 0.500
7 Hg 0.000 0.500 0.500
8 Hg 0.025 0.749 0.500
9 Hg 0.232 0.370 0.000
10 Hg 0.268 0.870 0.000
11 Hg 0.475 0.249 0.500
12 Hg 0.500 0.000 0.500
13 Hg 0.525 0.751 0.500
14 Hg 0.732 0.130 0.000
15 Hg 0.768 0.630 0.000
16 Hg 0.975 0.251 0.500

---

Record 10
VASP calculation (GGA-PBE) on an optimized crystal structure of Co3TeP.

- E_form (uncorrected): 0.25 eV per atom
- Spin magnetization: 1.496 μB/cell
- Crystal system: cubic
- Distance to the lowest polymorph of the same formula: 0 meV/atom

Lattice parameters (Å, degrees): 4.220 4.220 4.220 90.00 90.00 90.00
Element x y z (fractional)
1 Co 0.000 0.000 0.500
2 Co 0.000 0.500 0.000
3 Co 0.500 0.000 0.000
4 Te 0.500 0.500 0.500
5 P 0.000 0.000 0.000

---

Record 11
VASP calculation (GGA-PBE) on an optimized crystal structure of Cu2I2Cl.

- E_form (uncorrected): -0.06 eV per atom
- Spin magnetization: 0.000 μB/cell
- Crystal system: tetragonal
- Distance to the lowest polymorph of the same formula: 205 meV/atom

Lattice parameters (Å, degrees): 8.101 8.101 8.101 151.21 151.21 41.17
Element x y z (fractional)
1 Cu 0.250 0.750 0.500
2 Cu 0.750 0.250 0.500
3 I 0.137 0.137 0.000
4 I 0.863 0.863 0.000
5 Cl 0.500 0.500 0.000

---

Record 12
VASP calculation (GGA-PBE) on an optimized crystal structure of VCoNi6.

- Spin magnetization: 2.798 μB/cell
- Crystal system: trigonal
- Distance to the lowest polymorph of the same formula: 694 meV/atom

Lattice parameters (Å, degrees): 6.604 6.604 6.604 41.53 41.53 41.53
Element x y z (fractional)
1 V 0.000 0.000 0.000
2 Co 0.500 0.500 0.500
3 Ni 0.068 0.068 0.558
4 Ni 0.068 0.558 0.068
5 Ni 0.442 0.932 0.932
6 Ni 0.558 0.068 0.068
7 Ni 0.932 0.442 0.932
8 Ni 0.932 0.932 0.442

---

Record 13
VASP calculation (GGA-PBE) on an optimized crystal structure of CsLiV2Au.

- Final energy: -3.946 eV per atom
- Spin magnetization: 5.862 μB/cell
- Crystal system: tetragonal

Lattice parameters (Å, degrees): 4.930 4.930 5.164 90.00 90.00 90.00
Element x y z (fractional)
1 Cs 0.000 0.000 0.000
2 Li 0.500 0.500 0.000
3 V 0.000 0.500 0.500
4 V 0.500 0.000 0.500
5 Au 0.500 0.500 0.500

---

Record 14
VASP calculation (GGA-PBE) on an optimized crystal structure of Ca2YAlSe.

- E_form (uncorrected): 0.24 eV per atom
- Spin magnetization: 0.016 μB/cell
- Crystal system: tetragonal

Lattice parameters (Å, degrees): 5.806 5.806 5.139 90.00 90.00 90.00
Element x y z (fractional)
1 Ca 0.000 0.500 0.000
2 Ca 0.500 0.000 0.000
3 Y 0.000 0.000 0.500
4 Al 0.500 0.500 0.000
5 Se 0.500 0.500 0.500

---

Record 15
VASP calculation (GGA-PBE) on an optimized crystal structure of MgBe2C.

- Spin magnetization: 0.000 μB/cell
- Crystal system: trigonal
- Distance to the lowest polymorph of the same formula: 103 meV/atom

Lattice parameters (Å, degrees): 3.047 3.047 5.315 90.00 90.00 120.00
Element x y z (fractional)
1 Mg 0.000 0.000 0.000
2 Be 0.333 0.667 0.402
3 Be 0.667 0.333 0.598
4 C 0.000 0.000 0.500

---

Record 16
VASP calculation (GGA-PBE) on an optimized crystal structure of SrTh2Pb9.

- Final energy: -4.428 eV per atom
- Spin magnetization: 0.000 μB/cell
- Crystal system: tetragonal

Lattice parameters (Å, degrees): 4.941 4.941 14.878 90.00 90.00 90.00
Element x y z (fractional)
1 Sr 0.000 0.000 0.000
2 Th 0.000 0.000 0.340
3 Th 0.000 0.000 0.660
4 Pb 0.000 0.500 0.171
5 Pb 0.000 0.500 0.500
6 Pb 0.000 0.500 0.829
7 Pb 0.500 0.000 0.171
8 Pb 0.500 0.000 0.500
9 Pb 0.500 0.000 0.829
10 Pb 0.500 0.500 0.000
11 Pb 0.500 0.500 0.334
12 Pb 0.500 0.500 0.666

---

Record 17
VASP calculation (GGA-PBE) on an optimized crystal structure of TmFeSi2Mo.

- E_form (uncorrected): -0.52 eV per atom
- Spin magnetization: 2.420 μB/cell
- Crystal system: tetragonal

Lattice parameters (Å, degrees): 6.017 6.017 6.017 141.92 141.92 54.95
Element x y z (fractional)
1 Tm 0.000 0.000 0.000
2 Fe 0.250 0.750 0.500
3 Si 0.388 0.388 0.000
4 Si 0.612 0.612 0.000
5 Mo 0.750 0.250 0.500

---

Record 18
VASP calculation (GGA-PBE) on an optimized crystal structure of ZrTcRh.

- Spin magnetization: 0.001 μB/cell
- Crystal system: trigonal
- Distance to the lowest polymorph of the same formula: 155 meV/atom

Lattice parameters (Å, degrees): 4.526 4.526 2.820 90.00 90.00 120.00
Element x y z (fractional)
1 Zr 0.000 0.000 0.000
2 Tc 0.333 0.667 0.719
3 Rh 0.667 0.333 0.329

---

Record 19
VASP calculation (GGA-PBE) on an optimized crystal structure of Na7Sr3Ca2.

- Final energy: -1.468 eV per atom
- Spin magnetization: 0.000 μB/cell
- Crystal system: trigonal

Lattice parameters (Å, degrees): 12.239 12.239 12.239 34.03 34.03 34.03
Element x y z (fractional)
1 Na 0.000 0.000 0.000
2 Na 0.091 0.091 0.580
3 Na 0.091 0.580 0.091
4 Na 0.420 0.909 0.909
5 Na 0.580 0.091 0.091
6 Na 0.909 0.420 0.909
7 Na 0.909 0.909 0.420
8 Sr 0.359 0.359 0.359
9 Sr 0.500 0.500 0.500
10 Sr 0.641 0.641 0.641
11 Ca 0.166 0.166 0.166
12 Ca 0.834 0.834 0.834

---

Record 20
VASP calculation (GGA-PBE) on an optimized crystal structure of Mg2TaAu.

- Spin magnetization: 0.000 μB/cell
- Crystal system: orthorhombic
- Distance to the lowest polymorph of the same formula: 184 meV/atom

Lattice parameters (Å, degrees): 5.421 5.421 2.793 90.00 90.00 113.57
Element x y z (fractional)
1 Mg 0.000 0.500 0.000
2 Mg 0.500 0.000 0.000
3 Ta 0.000 0.000 0.500
4 Au 0.500 0.500 0.500